Record 1
Compound: Ta2CuIr
Source: Alexandria via LeMat-Bulk
Functional: meta-GGA SCAN
Structure: single point on PBEsol structure

Unit cell a=5.355 b=5.355 c=5.355 alpha=148.51 beta=129.15 gamma=61.05
Fractional positions:
Ta  0.000  0.000  0.000
Ta  0.738  0.238  0.500
Cu  0.256  0.756  0.500
Ir  0.491  0.491  0.000

The calculation puts the calculated formation energy at -180.8 meV/atom. As for the space-group type: Imm2.


Record 2
Compound: Sc2H2Au
Source: Alexandria via LeMat-Bulk
Functional: meta-GGA SCAN
Structure: single point on PBEsol structure

Unit cell a=6.110 b=6.110 c=6.110 alpha=148.14 beta=148.14 gamma=45.67
Fractional positions:
Sc  0.149  0.149  0.000
Sc  0.851  0.851  0.000
H  0.250  0.750  0.500
H  0.750  0.250  0.500
Au  0.500  0.500  0.000

As for the space-group type: I4/mmm.


no.,calculated density (Mg/m³),energy (eV/atom)
1,16.63,-55.05
2,7.58,-21.82